Run one
Computed, not measured: a geometry-optimized HoErMg structure at the GGA-PBE level of DFT.

* V: 84.99 Å³/f.u.
* DOS(E_F): 4.502 states/eV/f.u.

a b c (Å): 3.6122 3.6122 13.0275
angles (deg): 90.00 90.00 90.00
Closest atoms and distances in Å follow each position.
Space group I4mm (No. 107)
Inequivalent atoms, fractional coordinates:
Ho1 0.0000 0.0000 0.0000  4 Mg 3.31, 4 Er 3.46, 4 Ho 3.61
Er1 0.0000 0.0000 0.3210  4 Mg 3.29, 4 Ho 3.46, 4 Er 3.61
Mg1 0.0000 0.0000 0.6613  4 Er 3.29, 4 Ho 3.31, 4 Mg 3.61

Run two
Computed, not measured: a geometry-optimized HoErMg structure at the GGA-PBE level of DFT.

* V: 85.87 Å³/f.u.
* DOS(E_F): 3.650 states/eV/f.u.

a b c (Å): 3.4051 5.3612 9.4077
angles (deg): 90.00 90.04 90.00
Closest atoms and distances in Å follow each position.
Space group P2_1 (No. 4)
Inequivalent atoms, fractional coordinates:
Ho1 0.0011 0.0000 0.0850  4 Ho 3.12-3.41, 1 Mg 3.16
Er1 0.5001 0.0002 0.7473  2 Er 3.41, 6 Mg 3.51-3.55, 6 Ho 3.54-3.60
Mg1 0.0007 0.5016 0.5793  4 Mg 3.07-3.41, 1 Ho 3.16

Run three
Computed, not measured: a geometry-optimized HoErMg structure at the GGA-PBE level of DFT.

* V: 97.27 Å³/f.u.
* DOS(E_F): 3.997 states/eV/f.u.

a b c (Å): 3.4248 5.3220 5.3366
angles (deg): 90.00 90.00 90.00
Closest atoms and distances in Å follow each position.
Space group Pmmm (No. 47)
Inequivalent atoms, fractional coordinates:
Ho1 0.0000 0.0000 0.0000  4 Mg 3.17, 2 Ho 3.42
Er1 0.0000 0.5000 0.5000  4 Mg 3.16, 2 Er 3.42
Mg1 0.5000 0.0000 0.5000  4 Er 3.16, 4 Ho 3.17, 2 Mg 3.42

Run four
Computed, not measured: a geometry-optimized HoErMg structure at the GGA-PBE level of DFT.

* V: 84.80 Å³/f.u.
* DOS(E_F): 3.902 states/eV/f.u.

a b c (Å): 5.4073 5.4073 3.3491
angles (deg): 90.00 90.00 120.00
Closest atoms and distances in Å follow each position.
Space group P3m1 (No. 156)
Inequivalent atoms, fractional coordinates:
Ho1 0.0000 0.0000 0.0000  3 Mg 3.27, 2 Ho 3.35, 3 Er 3.43
Er1 0.3333 0.6667 0.5736  3 Mg 3.26, 2 Er 3.35, 3 Ho 3.43
Mg1 0.6667 0.3333 0.2917  3 Er 3.26, 3 Ho 3.27, 2 Mg 3.35

The most stable structure shown above is run one; the least stable is run three.